Entry from Alexandria via LeMat-Bulk: a relaxed TcS2ICl crystal (PBE).

The structure in POSCAR format:
```
TcS2ICl
1.0
5.139 0.000 0.000
0.000 5.139 0.000
0.000 0.000 5.323
Tc S I Cl
1 2 1 1
Direct
0.000 0.000 0.000
0.000 0.500 0.500
0.500 0.000 0.500
0.500 0.500 0.500
0.500 0.500 0.000
```

## Properties
Space group: P4/mmm

=====

Entry from Alexandria via LeMat-Bulk: a relaxed Sr2HoSb3Pd4 crystal (PBE).

The structure in POSCAR format:
```
Sr2HoSb3Pd4
1.0
4.596 0.000 0.000
0.000 4.596 0.000
0.000 0.000 11.485
Sr Ho Sb Pd
2 1 3 4
Direct
0.000 0.500 0.225
0.500 0.000 0.775
0.000 0.000 0.500
0.000 0.500 0.874
0.500 0.000 0.126
0.500 0.500 0.500
0.000 0.000 0.000
0.000 0.500 0.642
0.500 0.000 0.358
0.500 0.500 0.000
```

## Properties
Space group: P-4m2

=====

Record order is preserved below.
Calculated total energy: -3.1177 -4.9685 eV/atom